Sc2CrCoAs: relaxed, PBE-GGA.

abc: 4.7683 4.4610 4.7683
angles: 90.00 90.00 90.00
Last column: nearest neighbours and their distance in Å.
Sites, in units of the cell vectors:
Sc1 0.5000 0.0000 0.0000  2 Cr 2.38
Co1 0.5000 0.5000 0.5000  8 Sc 3.26, 4 As 3.37
Cr1 0.0000 0.0000 0.0000  2 As 2.23, 4 Sc 2.38
As1 0.0000 0.5000 0.0000  2 Cr 2.23
Sc2 0.0000 0.0000 0.5000  2 Cr 2.38

Output
DFT total energy in eV/atom: -6.31
DFT formation energy in eV/atom: 0.496
Energy above the lowest structure with this stoichiometry in meV/atom: 264